(1)
This record from Alexandria via LeMat-Bulk describes a geometry-optimized Nd2HoIn structure. The functional is PBE.

Properties
- D(E_F) (states/eV/cell) = 17.04
- crystal system = trigonal
- calculated volume (Å³/atom) = 32.38
- raw total energy (eV per atom) = -4.3275
- theoretical density (g/cm3) = 7.284
- total magnetic moment (μB per cell) = 1.3
- ΔH_f (0 K) (eV/atom) = -0.114
- E above lowest polymorph (meV/atom) = 154

abc: 3.6827 3.6827 33.0869
angles: 90.00 90.00 120.00
Space group R3m (No. 160, hexagonal axes)
Asymmetric unit:
Nd  0.0000  0.0000  0.0000 [3 per cell]
Nd  0.0000  0.0000  0.1756 [3 per cell]
Ho  0.0000  0.0000  0.7544 [3 per cell]
In  0.0000  0.0000  0.5881 [3 per cell]

(2)
This record from Alexandria via LeMat-Bulk describes a geometry-optimized Nd2HoIn4 structure. The functional is PBE.

Properties
- D(E_F) (states/eV/cell) = 10.44
- crystal system = tetragonal
- calculated volume (Å³/atom) = 30.02
- raw total energy (eV per atom) = -3.9064
- theoretical density (g/cm3) = 7.212
- total magnetic moment (μB per cell) = 0.0
- ΔH_f (0 K) (eV/atom) = -0.325
- E above lowest polymorph (meV/atom) = 0

abc: 5.301 5.301 14.957
angles: 90.00 90.00 90.00
Space group I4/mmm (No. 139)
Asymmetric unit:
Nd  0.000  0.000  0.249 [4 per cell]
Ho  0.000  0.000  0.500 [2 per cell]
In  0.000  0.500  0.109 [8 per cell]

(3)
This record from Alexandria via LeMat-Bulk describes a geometry-optimized NdHo4In4 structure. The functional is PBE.

Properties
- D(E_F) (states/eV/cell) = 12.83
- crystal system = tetragonal
- calculated volume (Å³/atom) = 30.76
- raw total energy (eV per atom) = -3.9559
- theoretical density (g/cm3) = 7.576
- total magnetic moment (μB per cell) = 0.0
- ΔH_f (0 K) (eV/atom) = -0.174

abc: 7.252 7.252 10.529
angles: 90.00 90.00 90.00
Space group P4_2/nmc (No. 137, origin choice 2)
Asymmetric unit:
Nd  0.250  0.750  0.250 [2 per cell]
Ho  0.017  0.250  0.160 [8 per cell]
In  0.038  0.250  0.458 [8 per cell]

(4)
This record from Alexandria via LeMat-Bulk describes a geometry-optimized NdHo3In3 structure. The functional is PBE.

Properties
- D(E_F) (states/eV/cell) = 26.18
- crystal system = cubic
- calculated volume (Å³/atom) = 29.13
- raw total energy (eV per atom) = -4.1331
- theoretical density (g/cm3) = 8.009
- total magnetic moment (μB per cell) = 0.0
- ΔH_f (0 K) (eV/atom) = -0.316
- E above lowest polymorph (meV/atom) = 42

abc: 9.343 9.343 9.343
angles: 90.00 90.00 90.00
Space group P2_13 (No. 198)
Asymmetric unit:
Nd  0.050  0.450  0.550 [4 per cell]
Ho  0.116  0.616  0.884 [4 per cell]
Ho  0.169  0.169  0.169 [4 per cell]
Ho  0.199  0.801  0.301 [4 per cell]
In  0.005  0.799  0.600 [12 per cell]

(5)
This record from Alexandria via LeMat-Bulk describes a geometry-optimized NdHo8In6 structure. The functional is PBE.

Properties
- D(E_F) (states/eV/cell) = 63.57
- crystal system = trigonal
- calculated volume (Å³/atom) = 30.58
- raw total energy (eV per atom) = -4.0594
- theoretical density (g/cm3) = 7.794
- total magnetic moment (μB per cell) = 0.0
- ΔH_f (0 K) (eV/atom) = -0.205

abc: 9.0542 9.0542 19.3804
angles: 90.00 90.00 120.00
Space group R-3 (No. 148, hexagonal axes)
Asymmetric unit:
Nd  0.0000  0.0000  0.0000 [3 per cell]
Ho  0.0000  0.0000  0.3325 [6 per cell]
Ho  0.0008  0.3328  0.1130 [18 per cell]
In  0.9998  0.3390  0.9402 [18 per cell]

(6)
This record from Alexandria via LeMat-Bulk describes a geometry-optimized Nd4HoIn2 structure. The functional is PBE.

Properties
- D(E_F) (states/eV/cell) = 16.92
- crystal system = monoclinic
- calculated volume (Å³/atom) = 31.35
- raw total energy (eV per atom) = -4.3408
- theoretical density (g/cm3) = 7.352
- total magnetic moment (μB per cell) = 0.0
- ΔH_f (0 K) (eV/atom) = -0.180
- E above lowest polymorph (meV/atom) = 0

abc: 8.619 6.704 8.718
angles: 90.00 119.40 90.00
Space group P2_1/m (No. 11)
Asymmetric unit:
Nd  0.042  0.250  0.037 [2 per cell]
Nd  0.101  0.750  0.390 [2 per cell]
Nd  0.443  0.503  0.269 [4 per cell]
Ho  0.252  0.750  0.833 [2 per cell]
In  0.187  0.250  0.460 [2 per cell]
In  0.329  0.250  0.890 [2 per cell]

(7)
This record from Alexandria via LeMat-Bulk describes a geometry-optimized Nd4HoIn2 structure. The functional is PBE.

Properties
- D(E_F) (states/eV/cell) = 20.79
- crystal system = orthorhombic
- calculated volume (Å³/atom) = 31.62
- raw total energy (eV per atom) = -4.1629
- theoretical density (g/cm3) = 7.290
- total magnetic moment (μB per cell) = 0.6
- ΔH_f (0 K) (eV/atom) = -0.002
- E above lowest polymorph (meV/atom) = 178

abc: 5.909 11.730 6.386
angles: 90.00 90.00 90.00
Space group Cmmm (No. 65)
Asymmetric unit:
Nd  0.000  0.139  0.000 [4 per cell]
Nd  0.250  0.250  0.500 [4 per cell]
Ho  0.000  0.000  0.500 [2 per cell]
In  0.000  0.500  0.244 [4 per cell]

(8)
This record from Alexandria via LeMat-Bulk describes a geometry-optimized Nd2Ho8In structure. The functional is PBE.

Properties
- D(E_F) (states/eV/cell) = 30.34
- crystal system = monoclinic
- calculated volume (Å³/atom) = 31.38
- raw total energy (eV per atom) = -4.4925
- theoretical density (g/cm3) = 8.287
- total magnetic moment (μB per cell) = 0.0
- ΔH_f (0 K) (eV/atom) = -0.047

abc: 19.403 5.534 6.454
angles: 90.00 94.98 90.00
Space group C2/m (No. 12)
Asymmetric unit:
Nd  0.244  0.000  0.333 [4 per cell]
Ho  0.044  0.000  0.266 [4 per cell]
Ho  0.078  0.500  0.597 [4 per cell]
Ho  0.151  0.000  0.811 [4 per cell]
Ho  0.160  0.500  0.122 [4 per cell]
In  0.000  0.500  0.000 [2 per cell]

(9)
This record from Alexandria via LeMat-Bulk describes a geometry-optimized Nd4Ho4In structure. The functional is PBE.

Properties
- D(E_F) (states/eV/cell) = 24.30
- crystal system = tetragonal
- calculated volume (Å³/atom) = 31.76
- raw total energy (eV per atom) = -4.5284
- theoretical density (g/cm3) = 7.851
- total magnetic moment (μB per cell) = 0.0
- ΔH_f (0 K) (eV/atom) = -0.071

abc: 10.748 10.748 4.949
angles: 90.00 90.00 90.00
Space group I4/mmm (No. 139)
Asymmetric unit:
Nd  0.162  0.162  0.000 [8 per cell]
Ho  0.000  0.336  0.500 [8 per cell]
In  0.000  0.000  0.500 [2 per cell]

(10)
This record from Alexandria via LeMat-Bulk describes a geometry-optimized Nd2HoIn structure. The functional is PBE.

Properties
- D(E_F) (states/eV/cell) = 5.91
- crystal system = tetragonal
- calculated volume (Å³/atom) = 30.10
- raw total energy (eV per atom) = -4.4811
- theoretical density (g/cm3) = 7.837
- total magnetic moment (μB per cell) = 0.0
- ΔH_f (0 K) (eV/atom) = -0.268
- E above lowest polymorph (meV/atom) = 0

abc: 4.910 4.910 4.995
angles: 90.00 90.00 90.00
Space group P4/mmm (No. 123)
Asymmetric unit:
Nd  0.000  0.500  0.000 [2 per cell]
Ho  0.000  0.000  0.500 [1 per cell]
In  0.500  0.500  0.500 [1 per cell]

(11)
This record from Alexandria via LeMat-Bulk describes a geometry-optimized Nd12Ho6In structure. The functional is PBE.

Properties
- D(E_F) (states/eV/cell) = 80.79
- crystal system = trigonal
- calculated volume (Å³/atom) = 34.03
- raw total energy (eV per atom) = -4.5172
- theoretical density (g/cm3) = 7.283
- total magnetic moment (μB per cell) = 0.0
- ΔH_f (0 K) (eV/atom) = 0.084
- E above lowest polymorph (meV/atom) = 22

abc: 13.1877 13.1877 12.8770
angles: 90.00 90.00 120.00
Space group R-3 (No. 148, hexagonal axes)
Asymmetric unit:
Nd  0.0008  0.7412  0.0004 [18 per cell]
Nd  0.0616  0.5305  0.1100 [18 per cell]
Ho  0.0886  0.9098  0.7742 [18 per cell]
In  0.0000  0.0000  0.0000 [3 per cell]

(12)
This record from Alexandria via LeMat-Bulk describes a geometry-optimized Nd2HoIn2 structure. The functional is PBE.

Properties
- D(E_F) (states/eV/cell) = 9.74
- crystal system = orthorhombic
- calculated volume (Å³/atom) = 30.17
- raw total energy (eV per atom) = -4.2964
- theoretical density (g/cm3) = 7.518
- total magnetic moment (μB per cell) = 0.0
- ΔH_f (0 K) (eV/atom) = -0.378
- E above lowest polymorph (meV/atom) = 0

abc: 5.018 7.051 8.528
angles: 90.00 90.00 90.00
Space group Immm (No. 71)
Asymmetric unit:
Nd  0.000  0.000  0.194 [4 per cell]
Ho  0.000  0.500  0.000 [2 per cell]
In  0.000  0.288  0.500 [4 per cell]